# 1
Entry from Alexandria via LeMat-Bulk: crystalline FeWS2 at its relaxed geometry (PBE).

As for the total magnetization: 2.52 μB per formula unit. The crystal system is trigonal. For the total energy, the calculation gives -89.93 eV for the cell shown.

The structure belongs to space group R-3m (No. 166, hexagonal axes); the cell edges are 3.0806, 3.0806 and 23.2342 Å and the angles 90.00°, 90.00° and 120.00°. The inequivalent atoms are Fe at (0.0000, 0.0000, 0.0000), W at (0.0000, 0.0000, 0.5000) and S at (0.0000, 0.0000, 0.0951).



# 2
Entry from Alexandria via LeMat-Bulk: crystalline FeWS at its relaxed geometry (PBE).

As for the total magnetization: 2.12 μB per formula unit. The crystal system is orthorhombic. For the total energy, the calculation gives -100.88 eV for the cell shown.

The structure belongs to space group Amm2 (No. 38); the cell edges are 11.166, 2.973 and 5.250 Å and the angles 90.00°, 90.00° and 90.00°. The inequivalent atoms are Fe at (0.172, 0.000, 0.000), W at (0.000, 0.000, 0.666), W at (0.500, 0.000, 0.851) and S at (0.347, 0.000, 0.526).



# 3
Entry from Alexandria via LeMat-Bulk: crystalline Fe2WS at its relaxed geometry (PBE).

As for the total magnetization: 0.00 μB per formula unit. The crystal system is tetragonal. For the total energy, the calculation gives -126.96 eV for the cell shown.

The structure belongs to space group I-42d (No. 122); the cell edges are 5.163, 5.163 and 9.976 Å and the angles 90.00°, 90.00° and 90.00°. The inequivalent atoms are Fe at (0.212, 0.250, 0.125), W at (0.000, 0.000, 0.500) and S at (0.000, 0.000, 0.000).



# 4
Entry from Alexandria via LeMat-Bulk: crystalline Fe3WS at its relaxed geometry (PBE).

As for the total magnetization: 5.43 μB per formula unit. The crystal system is cubic. For the total energy, the calculation gives -39.38 eV for the cell shown.

The structure belongs to space group Pm-3m (No. 221); the cell edges are 4.081, 4.081 and 4.081 Å and the angles 90.00°, 90.00° and 90.00°. The inequivalent atoms are Fe at (0.000, 0.000, 0.500), W at (0.500, 0.500, 0.500) and S at (0.000, 0.000, 0.000).